A plane-wave DFT calculation with GGA-PBEsol was carried out for a geometry-optimized Si2H6Se structure.

abc: 7.7389 7.7389 14.4360
angles: 90.00 90.00 90.00
Last column: nearest neighbours and their distance in Å.
Atoms (fractional coordinates):
H1 0.2599 0.5737 0.8018  1 Si 1.50
H2 0.2401 0.0737 0.9482  1 Si 1.50
H3 0.5976 0.0159 0.9345  1 Si 1.50
H4 0.9155 0.0947 0.5887  1 Si 1.50
H5 0.9024 0.5159 0.8155  1 Si 1.50
H6 0.3909 0.9253 0.8154  1 Si 1.49
H7 0.0737 0.2401 0.0518  1 Si 1.50
H8 0.1808 0.2670 0.4351  1 Si 1.49
H9 0.2670 0.1808 0.5649  1 Si 1.49
H10 0.0947 0.9155 0.4113  1 Si 1.50
H11 0.5845 0.5947 0.1613  1 Si 1.50
H12 0.0747 0.6091 0.6846  1 Si 1.49
H13 0.5894 0.6562 0.3911  1 Si 1.50
H14 0.5159 0.9024 0.1845  1 Si 1.50
H15 0.4024 0.9841 0.4345  1 Si 1.50
H16 0.9053 0.0845 0.9113  1 Si 1.50
H17 0.6562 0.5894 0.6089  1 Si 1.50
H18 0.1562 0.9106 0.6411  1 Si 1.50
H19 0.4263 0.7401 0.6982  1 Si 1.50
H20 0.9253 0.3909 0.1846  1 Si 1.49
H21 0.6091 0.0747 0.3154  1 Si 1.49
H22 0.3192 0.7670 0.3149  1 Si 1.49
H23 0.9106 0.1562 0.3589  1 Si 1.50
H24 0.8192 0.7330 0.9351  1 Si 1.49
H25 0.6808 0.2330 0.8149  1 Si 1.49
H26 0.8909 0.5747 0.4346  1 Si 1.49
H27 0.4155 0.4053 0.6613  1 Si 1.50
H28 0.0845 0.9053 0.0887  1 Si 1.50
H29 0.3438 0.4106 0.1089  1 Si 1.50
H30 0.1091 0.4253 0.9346  1 Si 1.49
H31 0.9841 0.4024 0.5655  1 Si 1.50
H32 0.7330 0.8192 0.0649  1 Si 1.49
H33 0.5947 0.5845 0.8387  1 Si 1.50
H34 0.5737 0.2599 0.1982  1 Si 1.50
H35 0.2330 0.6808 0.1851  1 Si 1.49
H36 0.4841 0.0976 0.6845  1 Si 1.50
H37 0.0894 0.8438 0.8589  1 Si 1.50
H38 0.4053 0.4155 0.3387  1 Si 1.50
H39 0.7599 0.9263 0.4482  1 Si 1.50
H40 0.8438 0.0894 0.1411  1 Si 1.50
H41 0.7401 0.4263 0.3018  1 Si 1.50
H42 0.4253 0.1091 0.0654  1 Si 1.49
H43 0.9263 0.7599 0.5518  1 Si 1.50
H44 0.7670 0.3192 0.6851  1 Si 1.49
H45 0.0159 0.5976 0.0655  1 Si 1.50
H46 0.4106 0.3438 0.8911  1 Si 1.50
H47 0.0976 0.4841 0.3155  1 Si 1.50
H48 0.5747 0.8909 0.5654  1 Si 1.49
Si1 0.4138 0.2403 0.1410  3 H 1.49-1.50
Si2 0.7757 0.6528 0.8439  3 H 1.49-1.50
Si3 0.3472 0.2243 0.6561  3 H 1.49-1.50
Si4 0.8472 0.2757 0.5939  3 H 1.49-1.50
Si5 0.2597 0.9138 0.8910  3 H 1.49-1.50
Si6 0.1528 0.7243 0.0939  3 H 1.49-1.50
Si7 0.9138 0.2597 0.1090  3 H 1.49-1.50
Si8 0.7243 0.1528 0.9061  3 H 1.49-1.50
Si9 0.2243 0.3472 0.3439  3 H 1.49-1.50
Si10 0.2403 0.4138 0.8590  3 H 1.49-1.50
Si11 0.5862 0.7597 0.6410  3 H 1.49-1.50
Si12 0.7403 0.0862 0.3910  3 H 1.49-1.50
Si13 0.2757 0.8472 0.4061  3 H 1.49-1.50
Si14 0.7597 0.5862 0.3590  3 H 1.49-1.50
Si15 0.6528 0.7757 0.1561  3 H 1.49-1.50
Si16 0.0862 0.7403 0.6090  3 H 1.49-1.50
Se1 0.2920 0.6226 0.5103  2 Si 2.30-2.32
Se2 0.7920 0.8774 0.7397  2 Si 2.30-2.32
Se3 0.1226 0.2080 0.7603  2 Si 2.30-2.32
Se4 0.6226 0.2920 0.4897  2 Si 2.30-2.32
Se5 0.2080 0.1226 0.2397  2 Si 2.30-2.32
Se6 0.3774 0.7080 0.9897  2 Si 2.30-2.32
Se7 0.7080 0.3774 0.0103  2 Si 2.30-2.32
Se8 0.8774 0.7920 0.2603  2 Si 2.30-2.32

Summary:
calculated volume: 108.1 Å³/f.u.
space group: P4_32_12 (96)
E: -3.93 eV per atom
Fermi-level density of states: 0.0 states/eV per cell